# P2AuS6 | Alexandria via LeMat-Bulk | PBE | optimized geometry
# * energy: -4.32 eV per atom
# * formation energy from raw total energies: -0.1 kJ per mole of atoms
# * theoretical density: 3.62 Mg/m³
# * crystal system: monoclinic
# * total moment: 0.00 μB/f.u.
data_P2AuS6
_space_group_name_H-M_alt 'C 1 2/c 1'
_space_group_IT_number 15
_cell_length_a 12.665
_cell_length_b 12.077
_cell_length_c 5.876
_cell_angle_alpha 90.00
_cell_angle_beta 113.05
_cell_angle_gamma 90.00
loop_
_space_group_symop_operation_xyz
'x,y,z'
'-x,-y,-z'
'-x,y,-z+1/2'
'x,-y,z+1/2'
'x+1/2,y+1/2,z'
'-x+1/2,-y+1/2,-z'
'-x+1/2,y+1/2,-z+1/2'
'x+1/2,-y+1/2,z+1/2'
loop_
_atom_site_label
_atom_site_fract_x
_atom_site_fract_y
_atom_site_fract_z
P1 0.211 0.086 0.271
Au1 0.000 0.340 0.250
S1 0.117 0.420 0.642
S2 0.138 0.226 0.107
S3 0.145 0.062 0.550

# LiMnRe2 | Alexandria via LeMat-Bulk | PBE | optimized geometry
# * energy: -8.79 eV per atom
# * formation enthalpy at 0 K: 0.201 eV per atom
# * theoretical density: 12.79 Mg/m³
# * crystal system: orthorhombic
# * total moment: 1.84 μB/f.u.
data_LiMnRe2
_space_group_name_H-M_alt 'C m m m'
_space_group_IT_number 65
_space_group_name_Hall '-C 2 2'
_cell_length_a 3.032
_cell_length_b 4.240
_cell_length_c 8.774
_cell_angle_alpha 90.00
_cell_angle_beta 90.00
_cell_angle_gamma 90.00
loop_
_atom_site_label
_atom_site_fract_x
_atom_site_fract_y
_atom_site_fract_z
Li1 0.000 0.000 0.000
Mn1 0.000 0.000 0.500
Re1 0.000 0.500 0.265

# Ba2TeI2F | Alexandria via LeMat-Bulk | PBE | optimized geometry
# * energy: -4.12 eV per atom
# * formation energy from raw total energies: -205.1 kJ per mole of atoms
# * theoretical density: 4.88 Mg/m³
# * crystal system: orthorhombic
# * total moment: 0.00 μB/f.u.
data_Ba2TeI2F
_space_group_name_H-M_alt 'I b a m'
_space_group_IT_number 72
_space_group_name_Hall '-I 2 2c'
_cell_length_a 8.885
_cell_length_b 16.235
_cell_length_c 6.370
_cell_angle_alpha 90.00
_cell_angle_beta 90.00
_cell_angle_gamma 90.00
loop_
_atom_site_label
_atom_site_fract_x
_atom_site_fract_y
_atom_site_fract_z
Ba1 0.181 0.098 0.000
Te1 0.000 0.500 0.250
I1 0.174 0.188 0.500
F1 0.000 0.000 0.250

# Na2PdO | Alexandria via LeMat-Bulk | PBE | optimized geometry
# * energy: -3.82 eV per atom
# * formation energy from raw total energies: -60.5 kJ per mole of atoms
# * theoretical density: 3.22 Mg/m³
# * crystal system: tetragonal
# * total moment: 0.00 μB/f.u.
data_Na2PdO
_space_group_name_H-M_alt 'I -4 2 d'
_space_group_IT_number 122
_space_group_name_Hall 'I -4 2bw'
_cell_length_a 9.183
_cell_length_b 9.183
_cell_length_c 4.125
_cell_angle_alpha 90.00
_cell_angle_beta 90.00
_cell_angle_gamma 90.00
loop_
_atom_site_label
_atom_site_fract_x
_atom_site_fract_y
_atom_site_fract_z
Na1 0.039 0.250 0.125
Pd1 0.000 0.000 0.500
O1 0.000 0.000 0.000